Computed, not measured: a geometry-optimized TaNiCl structure at the GGA-PBE level of DFT.

The raw formation energy comes out at 0.5514 eV per atom. For the energy relative to the lowest polymorph listed for this composition, the calculation gives 1.93 eV/f.u.

It has space group F-43m (No. 216), with a = 5.9261 Å, b = 5.9261 Å, c = 5.9261 Å, α = 90.00°, β = 90.00° and γ = 90.00°. Symmetry generates all atoms from Ta at (0.0000, 0.0000, 0.0000), Ni at (0.2500, 0.2500, 0.2500) and Cl at (0.2500, 0.2500, 0.7500).

***

Computed, not measured: a geometry-optimized TlTeCl structure at the GGA-PBE level of DFT.

The raw formation energy comes out at -0.1957 eV per atom.

It has space group P3m1 (No. 156), with a = 5.3307 Å, b = 5.3307 Å, c = 3.4360 Å, α = 90.00°, β = 90.00° and γ = 120.00°. Symmetry generates all atoms from Tl at (0.0000, 0.0000, 0.0000), Te at (0.3333, 0.6667, 0.9935) and Cl at (0.6667, 0.3333, 0.4985).

***

Computed, not measured: a geometry-optimized SmGdRhAu structure at the GGA-PBE level of DFT.

Its formation energy is -757 meV/atom.

It has space group F-43m (No. 216), with a = 7.1446 Å, b = 7.1446 Å, c = 7.1446 Å, α = 90.00°, β = 90.00° and γ = 90.00°. Symmetry generates all atoms from Sm at (0.0000, 0.0000, 0.0000), Gd at (0.0000, 0.0000, 0.5000), Rh at (0.2500, 0.2500, 0.7500) and Au at (0.2500, 0.2500, 0.2500).

***

Computed, not measured: a geometry-optimized YCoMo structure at the GGA-PBE level of DFT.

For the energy relative to the lowest polymorph listed for this composition, the calculation gives 4.12 eV/f.u. Its formation energy is 1498 meV/atom.

It has space group F-43m (No. 216), with a = 6.3449 Å, b = 6.3449 Å, c = 6.3449 Å, α = 90.00°, β = 90.00° and γ = 90.00°. Symmetry generates all atoms from Y at (0.0000, 0.0000, 0.0000), Co at (0.2500, 0.2500, 0.2500) and Mo at (0.2500, 0.2500, 0.7500).

***

Density of states at the Fermi level in states/eV per cell, matching the order above: 8.87; 1.25; 14.92; 15.97